No. 1
This record from Alexandria describes an optimized crystal structure of LaY3Pb. The functional is GGA-PBE.

Computed properties:
E above lowest polymorph: 0 meV/atom
formation energy from the elements: 1.34 eV per formula unit
final energy: -26.68 eV per formula unit

abc: 5.8383 5.8383 5.8383
angles: 90.00 90.00 90.00
Space group Pm-3m (No. 221)
Inequivalent atoms, fractional coordinates:
1 La 0.0000 0.0000 0.0000 x1
2 Y 0.0000 0.5000 0.5000 x3
3 Pb 0.5000 0.5000 0.5000 x1


No. 2
This record from Alexandria describes an optimized crystal structure of LaY2Pb. The functional is GGA-PBE.

Computed properties:
formation energy from the elements: -0.84 eV per formula unit
final energy: -22.41 eV per formula unit

abc: 11.9613 3.5798 5.9087
angles: 90.00 100.41 90.00
Space group Cm (No. 8)
Inequivalent atoms, fractional coordinates:
1 La 0.0000 0.0000 0.0000 x2
2 Y 0.2304 0.0000 0.7464 x2
3 Y 0.4749 0.0000 0.4818 x2
4 Pb 0.2414 0.5000 0.2546 x2


No. 3
This record from Alexandria describes an optimized crystal structure of La14YPb. The functional is GGA-PBE.

Computed properties:
formation energy from the elements: -1.24 eV per formula unit
final energy: -80.40 eV per formula unit

abc: 10.4366 10.3922 10.3894
angles: 90.00 90.00 90.00
Space group Amm2 (No. 38)
Inequivalent atoms, fractional coordinates:
1 La 0.0000 0.0000 0.0000 x2
2 La 0.0000 0.0000 0.4989 x2
3 La 0.0000 0.2500 0.2498 x4
4 La 0.2543 0.0000 0.7549 x4
5 La 0.2550 0.0000 0.2445 x4
6 La 0.2547 0.2448 0.9998 x8
7 La 0.5000 0.2503 0.2498 x4
8 Y 0.5000 0.0000 0.4999 x2
9 Pb 0.5000 0.0000 0.9997 x2


No. 4
This record from Alexandria describes an optimized crystal structure of LaYPb2. The functional is GGA-PBE.

Computed properties:
formation energy from the elements: -2.00 eV per formula unit
final energy: -20.81 eV per formula unit

abc: 7.2149 9.1788 3.6311
angles: 90.00 90.00 90.00
Space group Cmmm (No. 65)
Inequivalent atoms, fractional coordinates:
1 La 0.0000 0.0000 0.0000 x2
2 Y 0.0000 0.5000 0.0000 x2
3 Pb 0.2500 0.2500 0.5000 x4


No. 5
This record from Alexandria describes an optimized crystal structure of LaYPb. The functional is GGA-PBE.

Computed properties:
formation energy from the elements: -1.51 eV per formula unit
final energy: -16.61 eV per formula unit

abc: 4.7492 4.7492 17.5742
angles: 90.00 90.00 90.00
Space group I4/mmm (No. 139)
Inequivalent atoms, fractional coordinates:
1 La 0.0000 0.0000 0.1769 x4
2 Y 0.0000 0.5000 0.0000 x4
3 Pb 0.0000 0.0000 0.3697 x4


No. 6
This record from Alexandria describes an optimized crystal structure of LaYPb2. The functional is GGA-PBE.

Computed properties:
formation energy from the elements: -0.33 eV per formula unit
final energy: -19.14 eV per formula unit

abc: 3.6692 3.6692 33.2548
angles: 90.00 90.00 120.00
Space group R3m (No. 160, hexagonal axes)
Inequivalent atoms, fractional coordinates:
1 La 0.0000 0.0000 0.0000 x3
2 Y 0.0000 0.0000 0.2443 x3
3 Pb 0.0000 0.0000 0.4977 x3
4 Pb 0.0000 0.0000 0.7527 x3


No. 7
This record from Alexandria describes an optimized crystal structure of LaYPb. The functional is GGA-PBE.

Computed properties:
formation energy from the elements: -0.87 eV per formula unit
final energy: -15.97 eV per formula unit

abc: 5.2359 5.2359 4.2469
angles: 90.00 90.00 120.00
Space group P3m1 (No. 156)
Inequivalent atoms, fractional coordinates:
1 La 0.0000 0.0000 0.0000 x1
2 Y 0.3333 0.6667 0.5005 x1
3 Pb 0.6667 0.3333 0.4987 x1


No. 8
This record from Alexandria describes an optimized crystal structure of LaY2Pb. The functional is GGA-PBE.

Computed properties:
formation energy from the elements: -0.25 eV per formula unit
final energy: -21.82 eV per formula unit

abc: 5.2856 5.2856 17.0570
angles: 90.00 90.00 120.00
Space group R3m (No. 160, hexagonal axes)
Inequivalent atoms, fractional coordinates:
1 La 0.0000 0.0000 0.0000 x3
2 Y 0.0000 0.0000 0.5507 x3
3 Y 0.0000 0.0000 0.7816 x3
4 Pb 0.0000 0.0000 0.2069 x3


No. 9
This record from Alexandria describes an optimized crystal structure of LaY2Pb. The functional is GGA-PBE.

Computed properties:
formation energy from the elements: -1.15 eV per formula unit
final energy: -22.71 eV per formula unit

abc: 4.8094 4.8094 10.6282
angles: 90.00 90.00 90.00
Space group I-4m2 (No. 119)
Inequivalent atoms, fractional coordinates:
1 La 0.0000 0.0000 0.0000 x2
2 Y 0.0000 0.0000 0.5000 x2
3 Y 0.0000 0.5000 0.7500 x2
4 Pb 0.0000 0.5000 0.2500 x2


No. 10
This record from Alexandria describes an optimized crystal structure of LaYPb. The functional is GGA-PBE.

Computed properties:
formation energy from the elements: -0.82 eV per formula unit
final energy: -15.92 eV per formula unit

abc: 7.5523 7.5523 7.5523
angles: 90.00 90.00 90.00
Space group F-43m (No. 216)
Inequivalent atoms, fractional coordinates:
1 La 0.0000 0.0000 0.0000 x4
2 Y 0.0000 0.0000 0.5000 x4
3 Pb 0.2500 0.2500 0.2500 x4


No. 11
This record from Alexandria describes an optimized crystal structure of LaY2Pb. The functional is GGA-PBE.

Computed properties:
formation energy from the elements: -0.83 eV per formula unit
final energy: -22.39 eV per formula unit

abc: 3.7560 5.5586 5.9881
angles: 90.00 90.00 90.00
Space group Pmmm (No. 47)
Inequivalent atoms, fractional coordinates:
1 La 0.0000 0.0000 0.0000 x1
2 Y 0.0000 0.5000 0.5000 x1
3 Y 0.5000 0.5000 0.0000 x1
4 Pb 0.5000 0.0000 0.5000 x1


No. 12
This record from Alexandria describes an optimized crystal structure of LaYPb2. The functional is GGA-PBE.

Computed properties:
formation energy from the elements: -2.18 eV per formula unit
final energy: -20.99 eV per formula unit

abc: 4.6661 4.5385 6.4223
angles: 90.00 111.24 90.00
Space group Pm (No. 6)
Inequivalent atoms, fractional coordinates:
1 La 0.0000 0.0000 0.0000 x1
2 Y 0.7383 0.5000 0.4733 x1
3 Pb 0.2708 0.0000 0.5381 x1
4 Pb 0.4629 0.5000 0.9259 x1


Q: Look up the final energy of the second one.
A: -22.41 eV per formula unit


Q: What is the formula in the seventh record?
A: LaYPb


Q: Look up the final energy of the eleventh one.
A: -22.39 eV per formula unit